*1*
This record from the Alexandria database describes a relaxed structure of Y2SbF. The functional is PBE-GGA. Values from VASP.

Values from the calculation:
The calculation puts the volume at 23.473 Å³ per atom. Its crystal system is cubic.

Cell and atoms, written as Quantum ESPRESSO input:
```
&SYSTEM
  ibrav = 0, nat = 4, ntyp = 3
/
ATOMIC_SPECIES
Y 88.91 Y.upf
Sb 121.76 Sb.upf
F 19.00 F.upf
CELL_PARAMETERS angstrom
0.0000 3.6074 3.6074
3.6074 0.0000 3.6074
3.6074 3.6074 0.0000
ATOMIC_POSITIONS crystal
Y 0.2500 0.2500 0.2500
Y 0.7500 0.7500 0.7500
Sb 0.0000 0.0000 0.0000
F 0.5000 0.5000 0.5000
```

=====

*2*
This record from the Alexandria database describes a relaxed structure of Y2SbF. The functional is PBE-GGA. Values from VASP.

Values from the calculation:
The calculation puts the volume at 23.724 Å³ per atom. Its crystal system is tetragonal.

Cell and atoms, written as Quantum ESPRESSO input:
```
&SYSTEM
  ibrav = 0, nat = 8, ntyp = 3
/
ATOMIC_SPECIES
Y 88.91 Y.upf
Sb 121.76 Sb.upf
F 19.00 F.upf
CELL_PARAMETERS angstrom
-3.6660 3.6660 3.5305
3.6660 -3.6660 3.5305
3.6660 3.6660 -3.5305
ATOMIC_POSITIONS crystal
Y 0.0407 0.1250 0.4157
Y 0.3750 0.9593 0.0843
Y 0.7093 0.6250 0.5843
Y 0.8750 0.2907 0.9157
Sb 0.2500 0.7500 0.5000
Sb 0.5000 0.5000 0.0000
F 0.0000 0.0000 0.0000
F 0.7500 0.2500 0.5000
```

=====

Order of stability, best first: *2*, *1*

=====

*1*
This record from the Alexandria database describes a relaxed structure of Y2SbF2. The functional is PBE-GGA. Values from VASP.

Values from the calculation:
The calculation puts the volume at 20.179 Å³ per atom. Its crystal system is tetragonal.

Cell and atoms, written as Quantum ESPRESSO input:
```
&SYSTEM
  ibrav = 0, nat = 5, ntyp = 3
/
ATOMIC_SPECIES
Y 88.91 Y.upf
Sb 121.76 Sb.upf
F 19.00 F.upf
CELL_PARAMETERS angstrom
-2.3411 2.3411 4.6021
2.3411 -2.3411 4.6021
2.3411 2.3411 -4.6021
ATOMIC_POSITIONS crystal
Y 0.2500 0.7500 0.5000
Y 0.7500 0.2500 0.5000
Sb 0.0000 0.0000 0.0000
F 0.3301 0.3301 0.0000
F 0.6699 0.6699 0.0000
```

=====

*2*
This record from the Alexandria database describes a relaxed structure of Y2SbF2. The functional is PBE-GGA. Values from VASP.

Values from the calculation:
The calculation puts the volume at 18.740 Å³ per atom. Its crystal system is tetragonal.

Cell and atoms, written as Quantum ESPRESSO input:
```
&SYSTEM
  ibrav = 0, nat = 10, ntyp = 3
/
ATOMIC_SPECIES
Y 88.91 Y.upf
Sb 121.76 Sb.upf
F 19.00 F.upf
CELL_PARAMETERS angstrom
7.7219 0.0000 0.0000
0.0000 7.7219 0.0000
0.0000 0.0000 3.1429
ATOMIC_POSITIONS crystal
Y 0.1673 0.3327 0.0000
Y 0.3327 0.8327 0.0000
Y 0.6673 0.1673 0.0000
Y 0.8327 0.6673 0.0000
Sb 0.0000 0.0000 0.5000
Sb 0.5000 0.5000 0.5000
F 0.1079 0.6079 0.5000
F 0.3921 0.1079 0.5000
F 0.6079 0.8921 0.5000
F 0.8921 0.3921 0.5000
```

=====

Order of stability, best first: *1*, *2*

=====

*1*
This record from the Alexandria database describes a relaxed structure of YSb2F. The functional is PBE-GGA. Values from VASP.

Values from the calculation:
The calculation puts the volume at 24.725 Å³ per atom. Its crystal system is tetragonal.

Cell and atoms, written as Quantum ESPRESSO input:
```
&SYSTEM
  ibrav = 0, nat = 8, ntyp = 3
/
ATOMIC_SPECIES
Y 88.91 Y.upf
Sb 121.76 Sb.upf
F 19.00 F.upf
CELL_PARAMETERS angstrom
-2.1015 2.1015 11.1967
2.1015 -2.1015 11.1967
2.1015 2.1015 -11.1967
ATOMIC_POSITIONS crystal
Y 0.0000 0.0000 0.0000
Y 0.7500 0.2500 0.5000
Sb 0.1167 0.6250 0.9917
Sb 0.3750 0.3667 0.4917
Sb 0.6333 0.1250 0.0083
Sb 0.8750 0.8833 0.5083
F 0.2500 0.7500 0.5000
F 0.5000 0.5000 0.0000
```

=====

*2*
This record from the Alexandria database describes a relaxed structure of YSb2F. The functional is PBE-GGA. Values from VASP.

Values from the calculation:
The calculation puts the volume at 23.773 Å³ per atom. Its crystal system is cubic.

Cell and atoms, written as Quantum ESPRESSO input:
```
&SYSTEM
  ibrav = 0, nat = 4, ntyp = 3
/
ATOMIC_SPECIES
Y 88.91 Y.upf
Sb 121.76 Sb.upf
F 19.00 F.upf
CELL_PARAMETERS angstrom
0.0000 3.6227 3.6227
3.6227 0.0000 3.6227
3.6227 3.6227 0.0000
ATOMIC_POSITIONS crystal
Y 0.0000 0.0000 0.0000
Sb 0.2500 0.2500 0.2500
Sb 0.7500 0.7500 0.7500
F 0.5000 0.5000 0.5000
```

=====

Order of stability, best first: *1*, *2*